No. 1
A plane-wave DFT calculation with PBE-GGA was carried out for CaY4Os after structural relaxation.

Cell lengths 6.231, 6.231, 6.231 Å; angles 60.00, 60.00, 60.00 degrees
Element x y z (fractional)
Ca 0.000 0.000 0.000
Y 0.377 0.377 0.377
Y 0.377 0.377 0.869
Y 0.377 0.869 0.377
Y 0.869 0.377 0.377
Os 0.750 0.750 0.750

Properties
The total energy comes out at -5.70 eV per atom. The value obtained for the formation energy is 813 meV/atom. The density of states at the Fermi level is 7.5 states/eV per cell.


No. 2
A plane-wave DFT calculation with PBE-GGA was carried out for LiP2 after structural relaxation.

Cell lengths 4.048, 4.048, 2.694 Å; angles 90.00, 90.00, 90.00 degrees
Element x y z (fractional)
Li 0.000 0.000 0.000
P 0.000 0.500 0.500
P 0.500 0.000 0.500

Properties
The total energy comes out at -4.09 eV per atom. The value obtained for the formation energy is 152 meV/atom. The density of states at the Fermi level is 0.5 states/eV per cell.


No. 3
A plane-wave DFT calculation with PBE-GGA was carried out for VI3 after structural relaxation.

Cell lengths 11.192, 19.477, 3.667 Å; angles 90.00, 90.00, 90.00 degrees
Element x y z (fractional)
V 0.000 0.166 0.250
V 0.000 0.834 0.750
V 0.500 0.334 0.750
V 0.500 0.666 0.250
I 0.000 0.274 0.750
I 0.000 0.726 0.250
I 0.162 0.112 0.750
I 0.162 0.888 0.250
I 0.338 0.388 0.250
I 0.338 0.612 0.750
I 0.500 0.226 0.250
I 0.500 0.774 0.750
I 0.662 0.388 0.250
I 0.662 0.612 0.750
I 0.838 0.112 0.750
I 0.838 0.888 0.250

Properties
The total energy comes out at -3.79 eV per atom. For the formation energy (no corrections), the calculation gives -0.348 eV per atom. The density of states at the Fermi level is 18.4 states/eV per cell.


No. 4
A plane-wave DFT calculation with PBE-GGA was carried out for La4YGa5 after structural relaxation.

Cell lengths 3.717, 3.717, 18.829 Å; angles 90.00, 90.00, 90.00 degrees
Element x y z (fractional)
La 0.000 0.000 0.102
La 0.000 0.000 0.307
La 0.000 0.000 0.693
La 0.000 0.000 0.898
Y 0.000 0.000 0.500
Ga 0.500 0.500 0.000
Ga 0.500 0.500 0.204
Ga 0.500 0.500 0.413
Ga 0.500 0.500 0.587
Ga 0.500 0.500 0.796

Properties
The total energy comes out at -4.71 eV per atom. The value obtained for the formation energy is -578 meV/atom. The density of states at the Fermi level is 6.4 states/eV per cell.


No. 5
A plane-wave DFT calculation with PBE-GGA was carried out for LiZr2Zn12 after structural relaxation.

Cell lengths 5.570, 5.570, 15.965 Å; angles 90.00, 90.00, 90.00 degrees
Element x y z (fractional)
Li 0.250 0.750 0.000
Li 0.750 0.250 0.000
Zr 0.250 0.750 0.242
Zr 0.250 0.750 0.758
Zr 0.750 0.250 0.242
Zr 0.750 0.250 0.758
Zn 0.000 0.000 0.092
Zn 0.000 0.000 0.908
Zn 0.000 0.500 0.092
Zn 0.000 0.500 0.908
Zn 0.084 0.584 0.430
Zn 0.084 0.916 0.570
Zn 0.250 0.250 0.190
Zn 0.250 0.250 0.336
Zn 0.250 0.250 0.664
Zn 0.250 0.250 0.810
Zn 0.416 0.584 0.570
Zn 0.416 0.916 0.430
Zn 0.500 0.000 0.092
Zn 0.500 0.000 0.908
Zn 0.500 0.500 0.092
Zn 0.500 0.500 0.908
Zn 0.584 0.084 0.570
Zn 0.584 0.416 0.430
Zn 0.750 0.750 0.190
Zn 0.750 0.750 0.336
Zn 0.750 0.750 0.664
Zn 0.750 0.750 0.810
Zn 0.916 0.084 0.430
Zn 0.916 0.416 0.570

Properties
The total energy comes out at -2.31 eV per atom. The value obtained for the formation energy is -24 meV/atom. The density of states at the Fermi level is 17.4 states/eV per cell.


No. 6
A plane-wave DFT calculation with PBE-GGA was carried out for RbTiPt2O after structural relaxation.

Cell lengths 5.101, 5.101, 4.158 Å; angles 90.00, 90.00, 90.00 degrees
Element x y z (fractional)
Rb 0.000 0.000 0.000
Ti 0.500 0.500 0.500
Pt 0.000 0.500 0.000
Pt 0.500 0.000 0.000
O 0.000 0.000 0.500

Properties
The total energy comes out at -3.50 eV per atom. For the formation energy (no corrections), the calculation gives 1.676 eV per atom. The density of states at the Fermi level is 6.9 states/eV per cell.